Record 1
Compound: PPbI2
Source: Alexandria
Functional: PBE-GGA
Structure: optimized geometry

formation energy without anion corrections = 454 meV per atom
energy = -10.40 eV/f.u.
offset from the most stable computed form = 0.058 eV/atom
calculated volume = 31.5 Å³ per atom

Cell and atoms, written as extended XYZ:
```
4
Lattice="0.000 3.980 3.980 3.980 0.000 3.980 3.980 3.980 0.000" Properties=species:S:1:pos:R:3 pbc="T T T"
P 0.000 0.000 0.000
Pb 3.980 3.980 3.980
I 1.990 1.990 1.990
I 5.970 5.970 5.970
```

=====

Record 2
Compound: PPbI2
Source: Alexandria
Functional: PBE-GGA
Structure: optimized geometry

formation energy without anion corrections = 396 meV per atom
energy = -10.63 eV/f.u.
offset from the most stable computed form = 0.000 eV/atom
calculated volume = 35.6 Å³ per atom

Cell and atoms, written as extended XYZ:
```
8
Lattice="-2.677 2.677 9.944 2.677 -2.677 9.944 2.677 2.677 -9.944" Properties=species:S:1:pos:R:3 pbc="T T T"
P 0.000 0.000 0.000
P 0.000 2.677 4.972
Pb 2.677 0.000 4.972
Pb 0.000 0.000 9.944
I 4.016 1.179 -2.486
I 1.179 1.339 2.486
I -1.339 1.498 7.458
I 1.498 1.339 12.429
```

=====

Record 3
Compound: PPb3I3
Source: Alexandria
Functional: PBE-GGA
Structure: optimized geometry

formation energy without anion corrections = -409 meV per atom
energy = -24.05 eV/f.u.
calculated volume = 37.8 Å³ per atom

Cell and atoms, written as extended XYZ:
```
14
Lattice="9.276 0.000 0.000 0.000 4.444 0.000 -0.346 0.000 12.835" Properties=species:S:1:pos:R:3 pbc="T T T"
P 1.089 1.111 1.576
P 7.841 3.333 11.259
Pb 0.513 1.111 11.477
Pb 0.988 1.111 4.519
Pb 3.042 3.333 1.580
Pb 5.887 1.111 11.255
Pb 7.942 3.333 8.316
Pb 8.417 3.333 1.358
I 1.029 1.111 8.043
I 3.338 3.333 4.815
I 3.172 3.333 11.171
I 5.758 1.111 1.665
I 5.592 1.111 8.021
I 7.900 3.333 4.792
```